# Ti2CoSi2 PBE optimized geometry
# Density of states at the Fermi level in states/eV per cell: 8.83
# M_tot in μB per formula unit: 0.00
# Density in g/cm3: 4.89
# Total DFT energy (no corrections) in eV for the cell shown: -146.43
data_Ti2CoSi2
_cell_length_a 5.136
_cell_length_b 11.043
_cell_length_c 5.051
_cell_angle_alpha 90.00
_cell_angle_beta 90.00
_cell_angle_gamma 90.00
_space_group_name_H-M_alt 'I b a m'
_space_group_IT_number 72
_space_group_name_Hall '-I 2 2c'
loop_
_atom_site_label
_atom_site_type_symbol
_atom_site_fract_x
_atom_site_fract_y
_atom_site_fract_z
Ti1 Ti 0.212 0.171 0.000
Co1 Co 0.000 0.000 0.250
Si1 Si 0.183 0.414 0.000

***

# Ti2Co6Si PBE optimized geometry
# Density of states at the Fermi level in states/eV per cell: 20.19
# M_tot in μB per formula unit: 4.99
# Density in g/cm3: 7.31
# Total DFT energy (no corrections) in eV for the cell shown: -130.51
data_Ti2Co6Si
_cell_length_a 2.585
_cell_length_b 7.444
_cell_length_c 11.271
_cell_angle_alpha 90.00
_cell_angle_beta 90.00
_cell_angle_gamma 90.00
_space_group_name_H-M_alt 'I m m m'
_space_group_IT_number 71
_space_group_name_Hall '-I 2 2'
loop_
_atom_site_label
_atom_site_type_symbol
_atom_site_fract_x
_atom_site_fract_y
_atom_site_fract_z
Ti1 Ti 0.000 0.000 0.136
Co1 Co 0.000 0.269 0.500
Co2 Co 0.000 0.337 0.181
Si1 Si 0.000 0.500 0.000

***

# Ti2CoSi2 PBE optimized geometry
# Density of states at the Fermi level in states/eV per cell: 5.43
# M_tot in μB per formula unit: 0.00
# Density in g/cm3: 5.07
# Total DFT energy (no corrections) in eV for the cell shown: -75.03
data_Ti2CoSi2
_cell_length_a 5.939
_cell_length_b 5.939
_cell_length_c 3.919
_cell_angle_alpha 90.00
_cell_angle_beta 90.00
_cell_angle_gamma 90.00
_space_group_name_H-M_alt 'P 4/m b m'
_space_group_IT_number 127
_space_group_name_Hall '-P 4 2ab'
loop_
_atom_site_label
_atom_site_type_symbol
_atom_site_fract_x
_atom_site_fract_y
_atom_site_fract_z
Ti1 Ti 0.165 0.335 0.000
Co1 Co 0.000 0.000 0.500
Si1 Si 0.142 0.642 0.500

***

# TiCo2Si2 PBE optimized geometry
# Density of states at the Fermi level in states/eV per cell: 9.48
# M_tot in μB per formula unit: 0.00
# Density in g/cm3: 6.14
# Total DFT energy (no corrections) in eV for the cell shown: -71.45
data_TiCo2Si2
_cell_length_a 6.829
_cell_length_b 6.829
_cell_length_c 2.573
_cell_angle_alpha 90.00
_cell_angle_beta 90.00
_cell_angle_gamma 90.00
_space_group_name_H-M_alt 'P 4/m b m'
_space_group_IT_number 127
_space_group_name_Hall '-P 4 2ab'
loop_
_atom_site_label
_atom_site_type_symbol
_atom_site_fract_x
_atom_site_fract_y
_atom_site_fract_z
Ti1 Ti 0.000 0.000 0.000
Co1 Co 0.147 0.353 0.500
Si1 Si 0.146 0.646 0.000

***

# Ti3CoSi PBE optimized geometry
# Density of states at the Fermi level in states/eV per cell: 8.03
# M_tot in μB per formula unit: 0.00
# Density in g/cm3: 4.42
# Distance to the lowest polymorph of the same formula in meV per atom: 0
# Total DFT energy (no corrections) in eV for the cell shown: -35.59
data_Ti3CoSi
_cell_length_a 4.426
_cell_length_b 4.426
_cell_length_c 4.426
_cell_angle_alpha 90.00
_cell_angle_beta 90.00
_cell_angle_gamma 90.00
_space_group_name_H-M_alt 'P m -3 m'
_space_group_IT_number 221
_space_group_name_Hall '-P 4 2 3'
loop_
_atom_site_label
_atom_site_type_symbol
_atom_site_fract_x
_atom_site_fract_y
_atom_site_fract_z
Ti1 Ti 0.000 0.000 0.500
Co1 Co 0.000 0.000 0.000
Si1 Si 0.500 0.500 0.500

***

# Ti2CoSi PBE optimized geometry
# Density of states at the Fermi level in states/eV per cell: 4.65
# M_tot in μB per formula unit: 0.12
# Density in g/cm3: 5.57
# Total DFT energy (no corrections) in eV for the cell shown: -30.29
data_Ti2CoSi
_cell_length_a 3.771
_cell_length_b 3.771
_cell_length_c 3.834
_cell_angle_alpha 90.00
_cell_angle_beta 90.00
_cell_angle_gamma 90.00
_space_group_name_H-M_alt 'P 4/m m m'
_space_group_IT_number 123
_space_group_name_Hall '-P 4 2'
loop_
_atom_site_label
_atom_site_type_symbol
_atom_site_fract_x
_atom_site_fract_y
_atom_site_fract_z
Ti1 Ti 0.000 0.500 0.000
Co1 Co 0.000 0.000 0.500
Si1 Si 0.500 0.500 0.500

***

# Ti8Co2Si PBE optimized geometry
# Density of states at the Fermi level in states/eV per cell: 29.62
# M_tot in μB per formula unit: 0.00
# Density in g/cm3: 5.07
# Total DFT energy (no corrections) in eV for the cell shown: -169.53
data_Ti8Co2Si
_cell_length_a 7.277
_cell_length_b 11.657
_cell_length_c 4.267
_cell_angle_alpha 90.00
_cell_angle_beta 106.73
_cell_angle_gamma 90.00
_space_group_name_H-M_alt 'C 1 2/m 1'
_space_group_IT_number 12
loop_
_space_group_symop_operation_xyz
'x,y,z'
'-x,-y,-z'
'-x,y,-z'
'x,-y,z'
'x+1/2,y+1/2,z'
'-x+1/2,-y+1/2,-z'
'-x+1/2,y+1/2,-z'
'x+1/2,-y+1/2,z'
loop_
_atom_site_label
_atom_site_type_symbol
_atom_site_fract_x
_atom_site_fract_y
_atom_site_fract_z
Ti1 Ti 0.000 0.234 0.000
Ti2 Ti 0.116 0.500 0.816
Ti3 Ti 0.194 0.115 0.580
Co1 Co 0.000 0.318 0.500
Si1 Si 0.000 0.000 0.000

***

# Ti3Co2Si4 PBE optimized geometry
# Density of states at the Fermi level in states/eV per cell: 13.40
# M_tot in μB per formula unit: 0.00
# Density in g/cm3: 5.04
# Total DFT energy (no corrections) in eV for the cell shown: -131.56
data_Ti3Co2Si4
_cell_length_a 9.584
_cell_length_b 3.794
_cell_length_c 7.247
_cell_angle_alpha 90.00
_cell_angle_beta 110.76
_cell_angle_gamma 90.00
_space_group_name_H-M_alt 'C 1 2/m 1'
_space_group_IT_number 12
loop_
_space_group_symop_operation_xyz
'x,y,z'
'-x,-y,-z'
'-x,y,-z'
'x,-y,z'
'x+1/2,y+1/2,z'
'-x+1/2,-y+1/2,-z'
'-x+1/2,y+1/2,-z'
'x+1/2,-y+1/2,z'
loop_
_atom_site_label
_atom_site_type_symbol
_atom_site_fract_x
_atom_site_fract_y
_atom_site_fract_z
Ti1 Ti 0.000 0.000 0.000
Ti2 Ti 0.127 0.500 0.690
Co1 Co 0.186 0.500 0.363
Si1 Si 0.079 0.000 0.398
Si2 Si 0.213 0.500 0.072

***

# Ti2CoSi PBE optimized geometry
# Density of states at the Fermi level in states/eV per cell: 20.52
# M_tot in μB per formula unit: 0.00
# Density in g/cm3: 5.11
# Total DFT energy (no corrections) in eV for the cell shown: -114.47
data_Ti2CoSi
_cell_length_a 6.722
_cell_length_b 6.722
_cell_length_c 5.257
_cell_angle_alpha 90.00
_cell_angle_beta 90.00
_cell_angle_gamma 90.00
_space_group_name_H-M_alt 'I -4 2 d'
_space_group_IT_number 122
_space_group_name_Hall 'I -4 2bw'
loop_
_atom_site_label
_atom_site_type_symbol
_atom_site_fract_x
_atom_site_fract_y
_atom_site_fract_z
Ti1 Ti 0.219 0.250 0.125
Co1 Co 0.000 0.000 0.000
Si1 Si 0.000 0.000 0.500

***

# Ti2Co3Si PBE optimized geometry
# Density of states at the Fermi level in states/eV per cell: 12.11
# M_tot in μB per formula unit: 0.00
# Density in g/cm3: 6.74
# Total DFT energy (no corrections) in eV for the cell shown: -92.32
data_Ti2Co3Si
_cell_length_a 4.8231
_cell_length_b 4.8231
_cell_length_c 7.3503
_cell_angle_alpha 90.00
_cell_angle_beta 90.00
_cell_angle_gamma 120.00
_space_group_name_H-M_alt 'P 63/m m c'
_space_group_IT_number 194
_space_group_name_Hall '-P 6c 2c'
loop_
_atom_site_label
_atom_site_type_symbol
_atom_site_fract_x
_atom_site_fract_y
_atom_site_fract_z
Ti1 Ti 0.3333 0.6667 0.0593
Co1 Co 0.1710 0.3419 0.7500
Si1 Si 0.0000 0.0000 0.0000

***

# Ti12CoSi6 PBE optimized geometry
# Density of states at the Fermi level in states/eV per cell: 49.83
# M_tot in μB per formula unit: 0.00
# Density in g/cm3: 3.93
# Total DFT energy (no corrections) in eV for the cell shown: -414.36
data_Ti12CoSi6
_cell_length_a 10.9235
_cell_length_b 10.9235
_cell_length_c 9.8329
_cell_angle_alpha 90.00
_cell_angle_beta 90.00
_cell_angle_gamma 120.00
_space_group_name_H-M_alt 'R -3'
_space_group_IT_number 148
_space_group_name_Hall '-R 3'
loop_
_atom_site_label
_atom_site_type_symbol
_atom_site_fract_x
_atom_site_fract_y
_atom_site_fract_z
Ti1 Ti 0.0312 0.1998 0.3854
Ti2 Ti 0.0641 0.2047 0.8832
Co1 Co 0.0000 0.0000 0.0000
Si1 Si 0.0454 0.2776 0.6387